First-principles (PBE) data for a geometry-optimized La4Pr4Nd structure, as listed in Alexandria.

Cell and atoms, written as POSCAR:
```
La4Pr4Nd
1.0
-4.066 1.810 -4.673
-5.747 -2.302 -1.848
-6.112 10.547 1.917
La Pr Nd
4 4 1
Direct
0.275 0.888 0.557
0.386 0.444 0.779
0.614 0.556 0.221
0.725 0.112 0.443
0.943 0.222 0.889
0.832 0.667 0.667
0.168 0.333 0.333
0.057 0.778 0.111
0.500 0.000 0.000
```

Its total energy is -43.5 eV/f.u. The formation energy is 13 meV per atom. The density of states at the Fermi level comes out at 17.20 states/eV per cell.



First-principles (PBE) data for a geometry-optimized Mo2AsRh structure, as listed in Alexandria.

Cell and atoms, written as POSCAR:
```
Mo2AsRh
1.0
4.927 -0.013 0.060
3.995 2.883 0.060
0.725 0.233 4.328
Mo As Rh
2 1 1
Direct
0.003 0.003 0.992
0.497 0.497 0.508
0.250 0.250 0.250
0.750 0.750 0.750
```

Its total energy is -33.6 eV/f.u. The formation energy is 18 meV per atom. The density of states at the Fermi level comes out at 3.24 states/eV per cell.



First-principles (PBE) data for a geometry-optimized BeRe2Se structure, as listed in Alexandria.

Cell and atoms, written as POSCAR:
```
BeRe2Se
1.0
-0.301 -3.130 -3.102
-0.490 -4.359 -0.521
-4.736 -0.376 -0.527
Se Re Be
1 2 1
Direct
0.250 0.250 0.250
0.477 0.477 0.519
0.023 0.023 0.981
0.750 0.750 0.750
```

The calculation puts the energy relative to the lowest polymorph listed for this composition at 0.335 eV per atom. The formation energy from raw total energies comes out at 177 kJ/mol of formula units. Its total energy is -30.3 eV/f.u. The density of states at the Fermi level comes out at 2.57 states/eV per cell.



First-principles (PBE) data for a geometry-optimized Na2NbOsC structure, as listed in Alexandria.

Cell and atoms, written as POSCAR:
```
Na2NbOsC
1.0
5.531 0.000 0.000
0.000 3.786 0.000
0.000 0.000 5.531
Na C Nb Os
2 1 1 1
Direct
0.500 0.000 0.000
0.000 0.000 0.500
0.000 0.500 0.000
0.500 0.500 0.500
0.000 0.000 0.000
```

Its total energy is -24.6 eV/f.u. The formation energy is 1715 meV per atom. The density of states at the Fermi level comes out at 3.41 states/eV per cell.



First-principles (PBE) data for a geometry-optimized Li2CeScF8 structure, as listed in Alexandria.

Cell and atoms, written as POSCAR:
```
Li2CeScF8
1.0
4.057 0.174 0.014
0.209 5.090 -0.272
0.067 -0.386 7.463
F Li Sc Ce
8 2 1 1
Direct
0.115 0.762 0.203
0.622 0.753 0.986
0.135 0.762 0.759
0.562 0.745 0.444
0.885 0.238 0.797
0.865 0.238 0.241
0.378 0.247 0.014
0.438 0.255 0.556
0.539 0.539 0.196
0.461 0.461 0.804
0.000 0.000 0.000
0.000 0.000 0.500
```

The formation energy from raw total energies comes out at -4128 kJ/mol of formula units. Its total energy is -73.9 eV/f.u. The density of states at the Fermi level comes out at 5.29 states/eV per cell.



First-principles (PBE) data for a geometry-optimized BaBeGa2Ni structure, as listed in Alexandria.

Cell and atoms, written as POSCAR:
```
BaBeGa2Ni
1.0
-5.824 0.233 0.816
-0.771 -1.117 -5.180
-0.055 -5.751 1.249
Ni Ga Be Ba
1 2 1 1
Direct
0.500 0.500 0.500
0.000 0.000 0.500
0.500 0.000 0.000
0.000 0.500 0.000
0.000 0.000 0.000
```

Its total energy is -8.0 eV/f.u. The formation energy is 1889 meV per atom. The density of states at the Fermi level comes out at 8.04 states/eV per cell.



First-principles (PBE) data for a geometry-optimized NpCuOs2 structure, as listed in Alexandria.

Cell and atoms, written as POSCAR:
```
NpCuOs2
1.0
3.765 0.000 0.000
0.000 4.097 0.000
0.000 0.000 4.097
Os Cu Np
2 1 1
Direct
0.000 0.000 0.500
0.000 0.500 0.000
0.500 0.000 0.000
0.500 0.500 0.500
```

Its total energy is -38.8 eV/f.u. The formation energy is 165 meV per atom. The density of states at the Fermi level comes out at 6.08 states/eV per cell.



First-principles (PBE) data for a geometry-optimized Nd3GeBi structure, as listed in Alexandria.

Cell and atoms, written as POSCAR:
```
Nd3GeBi
1.0
8.506 -0.268 -0.201
0.251 8.634 -0.802
0.251 1.669 8.509
Nd Ge Bi
12 4 4
Direct
0.412 0.189 0.018
0.304 0.066 0.433
0.587 0.522 0.692
0.413 0.478 0.308
0.696 0.934 0.567
0.088 0.982 0.811
0.588 0.811 0.982
0.804 0.433 0.066
0.912 0.018 0.189
0.087 0.692 0.522
0.196 0.567 0.934
0.913 0.308 0.478
0.376 0.809 0.696
0.624 0.191 0.304
0.124 0.304 0.191
0.876 0.696 0.809
0.750 0.166 0.834
0.250 0.338 0.662
0.750 0.662 0.338
0.250 0.834 0.166
```

Its total energy is -26.2 eV/f.u. The formation energy is -673 meV per atom. The density of states at the Fermi level comes out at 13.98 states/eV per cell.



First-principles (PBE) data for a geometry-optimized Ba2ThTe6Au2 structure, as listed in Alexandria.

Cell and atoms, written as POSCAR:
```
Ba2ThTe6Au2
1.0
6.925 0.000 0.000
-3.462 7.704 -0.223
0.000 -4.710 8.008
Te Au Ba Th
6 2 2 1
Direct
0.671 0.841 0.170
0.329 0.159 0.830
0.725 0.449 0.605
0.275 0.551 0.395
0.830 0.159 0.830
0.170 0.841 0.170
0.075 0.151 0.250
0.925 0.849 0.750
0.270 0.541 0.770
0.730 0.459 0.230
0.500 0.000 0.500
```

The formation energy from raw total energies comes out at -930 kJ/mol of formula units. Its total energy is -46.3 eV/f.u. The density of states at the Fermi level comes out at 2.97 states/eV per cell.



First-principles (PBE) data for a geometry-optimized Ac5Sn2Ge2 structure, as listed in Alexandria.

Cell and atoms, written as POSCAR:
```
Ac5Sn2Ge2
1.0
9.807 0.000 0.000
0.000 7.125 0.000
-4.903 -3.562 9.218
Sn Ge Ac
4 4 10
Direct
0.864 0.447 0.849
0.486 0.947 0.849
0.136 0.597 0.151
0.514 0.097 0.151
0.876 0.768 0.500
0.500 0.414 0.000
0.124 0.268 0.500
0.000 0.914 0.000
0.192 0.735 0.500
0.279 0.118 0.297
0.721 0.821 0.703
0.223 0.656 0.876
0.808 0.235 0.500
0.152 0.156 0.876
0.777 0.780 0.124
0.848 0.280 0.124
0.482 0.321 0.703
0.518 0.618 0.297
```

Its total energy is -42.9 eV/f.u. The formation energy is -570 meV per atom. The density of states at the Fermi level comes out at 12.95 states/eV per cell.



First-principles (PBE) data for a geometry-optimized AlOs2C structure, as listed in Alexandria.

Cell and atoms, written as POSCAR:
```
AlOs2C
1.0
6.734 0.000 0.000
0.000 6.734 0.000
3.367 3.367 2.317
Al Os C
2 4 2
Direct
0.750 0.250 0.500
0.000 0.000 0.000
0.515 0.125 0.250
0.235 0.625 0.250
0.875 0.765 0.750
0.375 0.485 0.750
0.500 0.500 0.000
0.250 0.750 0.500
```

The calculation puts the energy relative to the lowest polymorph listed for this composition at 0.000 eV per atom. Its total energy is -34.2 eV/f.u. The formation energy is 298 meV per atom. The density of states at the Fermi level comes out at 3.81 states/eV per cell.



First-principles (PBE) data for a geometry-optimized Tb3Pr2ScS6 structure, as listed in Alexandria.

Cell and atoms, written as POSCAR:
```
Tb3Pr2ScS6
1.0
3.940 0.000 0.000
0.000 7.960 0.298
-1.970 -2.279 8.293
S Tb Pr Sc
6 3 2 1
Direct
0.337 0.407 0.675
0.005 0.764 0.010
0.661 0.070 0.321
0.663 0.593 0.325
0.995 0.236 0.990
0.339 0.930 0.679
0.500 0.500 0.000
0.170 0.835 0.340
0.830 0.165 0.660
0.167 0.334 0.333
0.833 0.666 0.667
0.500 0.000 0.000
```

The formation energy from raw total energies comes out at -2273 kJ/mol of formula units. Its total energy is -78.1 eV/f.u. The density of states at the Fermi level comes out at 5.61 states/eV per cell.